[1]
Below is a geometry-optimized HfAlCd3 structure, with properties calculated at the GGA-PBE level.

Structure (POSCAR):
```
HfAlCd3
1.0
4.983 0.000 0.000
0.000 4.983 0.000
0.000 0.000 4.983
Hf Al Cd
1 1 3
Direct
0.000 0.000 0.000
0.500 0.500 0.500
0.000 0.500 0.500
0.500 0.000 0.500
0.500 0.500 0.000
```

Calculated values
excess energy over the best structure of this formula in the dataset	0	meV/atom
space group	No. 221
formation energy	0.78	eV per atom

=====

[2]
Below is a geometry-optimized K2HfCdO4 structure, with properties calculated at the GGA-PBE level.

Structure (POSCAR):
```
K2HfCdO4
1.0
5.997 0.000 0.000
0.000 3.304 0.000
-2.146 0.000 6.176
K Hf Cd O
2 1 1 4
Direct
0.000 0.000 0.000
0.500 0.500 0.000
0.000 0.500 0.500
0.500 0.000 0.500
0.193 0.000 0.689
0.236 0.500 0.321
0.764 0.500 0.679
0.807 0.000 0.311
```

Calculated values
space group	No. 10
total energy	-6.239	eV/atom

=====

[3]
Below is a geometry-optimized Tb3Ga7Ni2 structure, with properties calculated at the GGA-PBE level.

Structure (POSCAR):
```
Tb3Ga7Ni2
1.0
4.191 0.000 0.000
0.000 4.161 0.000
-2.072 0.000 12.906
Tb Ga Ni
3 7 2
Direct
0.000 0.000 0.000
0.318 0.500 0.638
0.682 0.500 0.362
0.087 0.500 0.171
0.222 0.000 0.444
0.415 0.000 0.829
0.500 0.500 0.000
0.585 0.000 0.171
0.778 0.000 0.556
0.913 0.500 0.829
0.129 0.000 0.261
0.871 0.000 0.739
```

Calculated values
space group	No. 10
formation energy	-0.61	eV per atom

=====

[4]
Below is a geometry-optimized Mn4SnS8 structure, with properties calculated at the GGA-PBE level.

Structure (POSCAR):
```
Mn4SnS8
1.0
3.405 1.966 6.583
-3.405 1.966 6.583
0.000 -3.932 6.583
Mn Sn S
4 1 8
Direct
0.000 0.000 0.000
0.000 0.500 0.500
0.500 0.000 0.500
0.500 0.500 0.000
0.500 0.500 0.500
0.237 0.237 0.727
0.237 0.727 0.237
0.268 0.268 0.268
0.273 0.763 0.763
0.727 0.237 0.237
0.732 0.732 0.732
0.763 0.273 0.763
0.763 0.763 0.273
```

Calculated values
space group	No. 166
total energy	-6.196	eV/atom

=====

[5]
Below is a geometry-optimized Pm4Al3In structure, with properties calculated at the GGA-PBE level.

Structure (POSCAR):
```
Pm4Al3In
1.0
4.298 0.000 0.000
0.000 4.557 0.000
0.000 0.000 11.540
Pm Al In
4 3 1
Direct
0.000 0.000 0.000
0.000 0.500 0.489
0.500 0.000 0.710
0.500 0.500 0.214
0.000 0.000 0.285
0.500 0.000 0.422
0.500 0.500 0.931
0.000 0.500 0.778
```

Calculated values
excess energy over the best structure of this formula in the dataset	27	meV/atom
space group	No. 25
formation energy	-0.37	eV per atom

=====

[6]
Below is a geometry-optimized SrLi3Br structure, with properties calculated at the GGA-PBE level.

Structure (POSCAR):
```
SrLi3Br
1.0
5.355 0.000 0.000
0.000 5.355 0.000
0.000 0.000 5.355
Sr Li Br
1 3 1
Direct
0.000 0.000 0.000
0.000 0.500 0.500
0.500 0.000 0.500
0.500 0.500 0.000
0.500 0.500 0.500
```

Calculated values
excess energy over the best structure of this formula in the dataset	0	meV/atom
space group	No. 221

=====

[7]
Below is a geometry-optimized CoAs3Pt structure, with properties calculated at the GGA-PBE level.

Structure (POSCAR):
```
CoAs3Pt
1.0
4.499 0.000 0.000
0.000 4.499 0.000
0.000 0.000 4.499
Co As Pt
1 3 1
Direct
0.000 0.000 0.000
0.000 0.000 0.500
0.000 0.500 0.000
0.500 0.000 0.000
0.500 0.500 0.500
```

Calculated values
excess energy over the best structure of this formula in the dataset	0	meV/atom
space group	No. 221
formation energy	0.43	eV per atom

=====

[8]
Below is a geometry-optimized Nd3S3O2 structure, with properties calculated at the GGA-PBE level.

Structure (POSCAR):
```
Nd3S3O2
1.0
-1.917 2.098 10.369
1.917 -2.098 10.369
1.917 2.098 -10.369
Nd S O
3 3 2
Direct
0.000 0.000 0.000
0.308 0.808 0.500
0.692 0.192 0.500
0.113 0.613 0.500
0.500 0.500 0.000
0.887 0.387 0.500
0.247 0.247 0.000
0.753 0.753 0.000
```

Calculated values
space group	No. 71
total energy	-6.915	eV/atom

=====

[9]
Below is a geometry-optimized LiSb2Ru structure, with properties calculated at the GGA-PBE level.

Structure (POSCAR):
```
LiSb2Ru
1.0
3.241 0.000 0.000
0.000 4.074 0.000
0.000 0.000 5.763
Li Sb Ru
1 2 1
Direct
0.000 0.000 0.000
0.000 0.000 0.461
0.500 0.500 0.838
0.500 0.500 0.312
```

Calculated values
excess energy over the best structure of this formula in the dataset	154	meV/atom
space group	No. 25

=====

[10]
Below is a geometry-optimized CeHoNb4 structure, with properties calculated at the GGA-PBE level.

Structure (POSCAR):
```
CeHoNb4
1.0
0.000 4.043 4.043
4.043 0.000 4.043
4.043 4.043 0.000
Ce Ho Nb
1 1 4
Direct
0.000 0.000 0.000
0.750 0.750 0.750
0.375 0.375 0.375
0.375 0.375 0.876
0.375 0.876 0.375
0.876 0.375 0.375
```

Calculated values
space group	No. 216
formation energy	0.18	eV per atom

=====

[11]
Below is a geometry-optimized CdInNiPb2 structure, with properties calculated at the GGA-PBE level.

Structure (POSCAR):
```
CdInNiPb2
1.0
5.197 0.000 0.000
0.000 5.197 0.000
0.000 0.000 5.046
Cd In Ni Pb
1 1 1 2
Direct
0.000 0.000 0.000
0.500 0.500 0.000
0.500 0.500 0.500
0.000 0.500 0.500
0.500 0.000 0.500
```

Calculated values
space group	No. 123
formation energy	0.11	eV per atom

=====

[12]
Below is a geometry-optimized Tb5YEr2Sc structure, with properties calculated at the GGA-PBE level.

Structure (POSCAR):
```
Tb5YEr2Sc
1.0
2.763 -10.001 0.000
2.763 10.001 0.000
0.000 0.000 10.303
Tb Y Er Sc
10 2 4 2
Direct
0.016 0.984 0.500
0.274 0.726 0.805
0.300 0.700 0.192
0.377 0.623 0.506
0.483 0.517 0.226
0.517 0.483 0.726
0.623 0.377 0.006
0.700 0.300 0.692
0.726 0.274 0.305
0.984 0.016 0.000
0.407 0.593 0.941
0.593 0.407 0.441
0.111 0.889 0.794
0.115 0.885 0.222
0.885 0.115 0.722
0.889 0.111 0.294
0.195 0.805 0.500
0.805 0.195 0.000
```

Calculated values
space group	No. 36
formation energy	0.17	eV per atom

=====

For the records above, the corresponding V values read 124 122 225 264 226 154 91 167 76 132 136 569 Å³/cell.